Here is Tb2Er2Sc5 after structural relaxation from the Alexandria database. Energies are from GGA-PBE.

The energy relative to the elements comes out at 0.0499 eV per atom. The value obtained for the total magnetic moment is 0.00 μB per formula unit. For the density of states at the Fermi level, the calculation gives 1.24 states/eV/atom.

a b c (Å): 16.535 3.480 8.893
angles (deg): 90.00 103.89 90.00
Space group C2/m (No. 12)
Unique sites:
Tb  0.190  0.000  0.267 [4 per cell]
Er  0.020  0.500  0.323 [4 per cell]
Sc  0.000  0.000  0.000 [2 per cell]
Sc  0.139  0.000  0.613 [4 per cell]
Sc  0.163  0.500  0.932 [4 per cell]